(1)
DFT (PBE-GGA) results for PmGa7Cu12 after structural relaxation.

Calculated values
total DFT energy (no corrections) = -3.819 eV/atom
volume = 296 Å³/cell
theoretical density = 7.84 g/cm³
total magnetization = 0.0 Bohr magnetons per cell

Cell lengths 7.5945, 7.5945, 7.5945 Å; angles 112.36, 112.36, 112.36 degrees
Fractional positions:
Pm: 0.0000 0.0000 0.0000
Ga: 0.1917 0.1917 0.5381
Ga: 0.1917 0.5381 0.1917
Ga: 0.4619 0.8083 0.8083
Ga: 0.5000 0.5000 0.5000
Ga: 0.5381 0.1917 0.1917
Ga: 0.8083 0.4619 0.8083
Ga: 0.8083 0.8083 0.4619
Cu: 0.0000 0.2714 0.7286
Cu: 0.0000 0.7286 0.2714
Cu: 0.0562 0.3967 0.3967
Cu: 0.2714 0.0000 0.7286
Cu: 0.2714 0.7286 0.0000
Cu: 0.3967 0.0562 0.3967
Cu: 0.3967 0.3967 0.0562
Cu: 0.6033 0.6033 0.9438
Cu: 0.6033 0.9438 0.6033
Cu: 0.7286 0.0000 0.2714
Cu: 0.7286 0.2714 0.0000
Cu: 0.9438 0.6033 0.6033

=====

(2)
DFT (PBE-GGA) results for Pm4Ga5Cu3 after structural relaxation.

Calculated values
total DFT energy (no corrections) = -4.184 eV/atom
volume = 277 Å³/cell
theoretical density = 6.71 g/cm³
total magnetization = 0.0 Bohr magnetons per cell

Cell lengths 7.7037, 7.7037, 9.7150 Å; angles 117.35, 117.35, 33.22 degrees
Fractional positions:
Pm: 0.0380 0.0380 0.3246
Pm: 0.2621 0.2621 0.7893
Pm: 0.7379 0.7379 0.2107
Pm: 0.9620 0.9620 0.6754
Ga: 0.2753 0.2753 0.4674
Ga: 0.4104 0.4104 0.3904
Ga: 0.5000 0.5000 0.0000
Ga: 0.5896 0.5896 0.6096
Ga: 0.7247 0.7247 0.5326
Cu: 0.0000 0.0000 0.0000
Cu: 0.3893 0.3893 0.1284
Cu: 0.6107 0.6107 0.8716

=====

(3)
DFT (PBE-GGA) results for PmGa12Cu7 after structural relaxation.

Calculated values
total DFT energy (no corrections) = -3.446 eV/atom
volume = 370 Å³/cell
theoretical density = 6.39 g/cm³
total magnetization = 0.0 Bohr magnetons per cell

Cell lengths 7.8363, 7.8363, 7.8363 Å; angles 109.47, 109.47, 109.47 degrees
Fractional positions:
Pm: 0.0000 0.0000 0.0000
Ga: 0.1138 0.3408 0.7731
Ga: 0.2269 0.5677 0.3408
Ga: 0.2269 0.8862 0.6592
Ga: 0.3408 0.2269 0.5677
Ga: 0.3408 0.7731 0.1138
Ga: 0.4323 0.6592 0.7731
Ga: 0.5677 0.3408 0.2269
Ga: 0.6592 0.2269 0.8862
Ga: 0.6592 0.7731 0.4323
Ga: 0.7731 0.1138 0.3408
Ga: 0.7731 0.4323 0.6592
Ga: 0.8862 0.6592 0.2269
Cu: 0.0000 0.0000 0.5000
Cu: 0.0000 0.5000 0.0000
Cu: 0.0000 0.5000 0.5000
Cu: 0.5000 0.0000 0.0000
Cu: 0.5000 0.0000 0.5000
Cu: 0.5000 0.5000 0.0000
Cu: 0.5000 0.5000 0.5000

=====

(4)
DFT (PBE-GGA) results for PmGa12Cu4 after structural relaxation.

Calculated values
total DFT energy (no corrections) = -3.433 eV/atom
volume = 321 Å³/cell
theoretical density = 6.40 g/cm³
total magnetization = 0.0 Bohr magnetons per cell

Cell lengths 7.4690, 7.4690, 7.4690 Å; angles 109.47, 109.47, 109.47 degrees
Fractional positions:
Pm: 0.0000 0.0000 0.0000
Ga: 0.1578 0.3472 0.5050
Ga: 0.1578 0.6528 0.8106
Ga: 0.1894 0.8422 0.3472
Ga: 0.3472 0.1894 0.8422
Ga: 0.3472 0.5050 0.1578
Ga: 0.4950 0.8422 0.6528
Ga: 0.5050 0.1578 0.3472
Ga: 0.6528 0.4950 0.8422
Ga: 0.6528 0.8106 0.1578
Ga: 0.8106 0.1578 0.6528
Ga: 0.8422 0.3472 0.1894
Ga: 0.8422 0.6528 0.4950
Cu: 0.0000 0.0000 0.5000
Cu: 0.0000 0.5000 0.0000
Cu: 0.5000 0.0000 0.0000
Cu: 0.5000 0.5000 0.5000

=====

(5)
DFT (PBE-GGA) results for PmGa3Cu after structural relaxation.

Calculated values
total DFT energy (no corrections) = -3.963 eV/atom
volume = 191 Å³/cell
theoretical density = 7.25 g/cm³
total magnetization = 0.0 Bohr magnetons per cell

Cell lengths 7.3984, 7.3984, 6.5131 Å; angles 108.42, 108.42, 34.65 degrees
Fractional positions:
Pm: 0.1355 0.1355 0.4913
Pm: 0.8645 0.8645 0.5087
Ga: 0.0665 0.0665 0.9013
Ga: 0.2662 0.2662 0.1530
Ga: 0.3710 0.3710 0.8448
Ga: 0.6290 0.6290 0.1552
Ga: 0.7338 0.7338 0.8470
Ga: 0.9335 0.9335 0.0987
Cu: 0.4639 0.4639 0.2965
Cu: 0.5361 0.5361 0.7035

=====

(6)
DFT (PBE-GGA) results for Pm2Ga8Cu after structural relaxation.

Calculated values
total DFT energy (no corrections) = -3.850 eV/atom
volume = 216 Å³/cell
theoretical density = 7.02 g/cm³
total magnetization = 0.0 Bohr magnetons per cell

Cell lengths 4.3765, 4.3765, 11.2602 Å; angles 90.00, 90.00, 90.00 degrees
Fractional positions:
Pm: 0.0000 0.0000 0.1931
Pm: 0.0000 0.0000 0.8069
Ga: 0.0000 0.5000 0.0000
Ga: 0.0000 0.5000 0.3794
Ga: 0.0000 0.5000 0.6206
Ga: 0.5000 0.0000 0.0000
Ga: 0.5000 0.0000 0.3794
Ga: 0.5000 0.0000 0.6206
Ga: 0.5000 0.5000 0.1987
Ga: 0.5000 0.5000 0.8013
Cu: 0.0000 0.0000 0.5000

=====

(7)
DFT (PBE-GGA) results for Pm4GaCu3 after structural relaxation.

Calculated values
total DFT energy (no corrections) = -4.552 eV/atom
volume = 186 Å³/cell
theoretical density = 7.51 g/cm³
total magnetization = 0.0 Bohr magnetons per cell

Cell lengths 8.8135, 8.8135, 8.8135 Å; angles 33.51, 33.51, 33.51 degrees
Fractional positions:
Pm: 0.1221 0.1221 0.1221
Pm: 0.3729 0.3729 0.3729
Pm: 0.6271 0.6271 0.6271
Pm: 0.8779 0.8779 0.8779
Ga: 0.5000 0.5000 0.5000
Cu: 0.0000 0.0000 0.0000
Cu: 0.2459 0.2459 0.2459
Cu: 0.7541 0.7541 0.7541

=====

(8)
DFT (PBE-GGA) results for Pm2GaCu3 after structural relaxation.

Calculated values
total DFT energy (no corrections) = -4.458 eV/atom
volume = 245 Å³/cell
theoretical density = 7.47 g/cm³
total magnetization = 0.0 Bohr magnetons per cell

Cell lengths 8.6558, 8.3954, 5.7368 Å; angles 72.81, 67.91, 39.28 degrees
Fractional positions:
Pm: 0.2399 0.7601 0.7601
Pm: 0.2500 0.2500 0.2500
Pm: 0.7500 0.7500 0.7500
Pm: 0.7601 0.2399 0.2399
Ga: 0.3342 0.3342 0.6658
Ga: 0.6658 0.6658 0.3342
Cu: 0.1666 0.1666 0.8334
Cu: 0.1688 0.6653 0.3347
Cu: 0.3347 0.8312 0.1688
Cu: 0.6653 0.1688 0.8312
Cu: 0.8312 0.3347 0.6653
Cu: 0.8334 0.8334 0.1666